# UZnCoO6

A relaxed UZnCoO6 crystal (PBE with a Hubbard U, the Alexandria database).

- total DFT energy (no corrections) (eV per atom) = -7.066
- symmetry = No. 163
- spin magnetization (μB/f.u.) = 1.052
- crystal system = trigonal

Unit cell a=5.1499 b=5.1499 c=9.0364 alpha=90.00 beta=90.00 gamma=120.00
With the nearest neighbours (Å) after each atom.
Fractional coordinates of all 18 atoms:
U: 0.3333 0.6667 0.2500  6 O 2.08
U: 0.6667 0.3333 0.7500  6 O 2.08
Zn: 0.0000 0.0000 0.0000  6 O 2.15
Zn: 0.0000 0.0000 0.5000  6 O 2.15
Co: 0.3333 0.6667 0.7500  6 O 1.91
Co: 0.6667 0.3333 0.2500  6 O 1.91
O: 0.0249 0.3591 0.6321  1 Co 1.91, 1 U 2.08
O: 0.0249 0.6658 0.8679  1 Co 1.91, 1 U 2.08
O: 0.3342 0.3591 0.8679  1 Co 1.91, 1 U 2.08
O: 0.3342 0.9751 0.6321  1 Co 1.91, 1 U 2.08
O: 0.3591 0.0249 0.1321  1 Co 1.91, 1 U 2.08
O: 0.3591 0.3342 0.3679  1 Co 1.91, 1 U 2.08
O: 0.6409 0.6658 0.6321  1 Co 1.91, 1 U 2.08
O: 0.6409 0.9751 0.8679  1 Co 1.91, 1 U 2.08
O: 0.6658 0.0249 0.3679  1 Co 1.91, 1 U 2.08
O: 0.6658 0.6409 0.1321  1 Co 1.91, 1 U 2.08
O: 0.9751 0.3342 0.1321  1 Co 1.91, 1 U 2.08
O: 0.9751 0.6409 0.3679  1 Co 1.91, 1 U 2.08